Record 1
An optimized crystal structure of AcPr5N6. Source: the Alexandria database, functional GGA-PBE.

Structure (POSCAR):
```
AcPr5N6
1.0
3.231 -5.598 0.000
3.231 5.598 0.000
-2.148 0.000 6.088
Ac Pr N
1 5 6
Direct
0.000 0.000 0.000 Ac
0.169 0.831 0.500 Pr
0.334 0.666 0.000 Pr
0.500 0.500 0.500 Pr
0.666 0.334 0.000 Pr
0.831 0.169 0.500 Pr
0.085 0.426 0.254 N
0.258 0.258 0.748 N
0.426 0.085 0.254 N
0.574 0.915 0.746 N
0.742 0.742 0.252 N
0.915 0.574 0.746 N
```

Results
**ΔE_f (raw)**: -1.237 eV per atom

---

Record 2
An optimized crystal structure of La2Ho4In. Source: the Alexandria database, functional GGA-PBE.

Structure (POSCAR):
```
La2Ho4In
1.0
6.540 0.000 0.000
0.000 12.011 0.000
-2.923 0.000 5.745
La Ho In
4 8 2
Direct
0.181 0.018 0.328 La
0.181 0.482 0.828 La
0.819 0.518 0.172 La
0.819 0.982 0.672 La
0.161 0.199 0.829 Ho
0.161 0.301 0.329 Ho
0.348 0.726 0.187 Ho
0.348 0.774 0.687 Ho
0.652 0.226 0.313 Ho
0.652 0.274 0.813 Ho
0.839 0.699 0.671 Ho
0.839 0.801 0.171 Ho
0.500 0.000 0.000 In
0.500 0.500 0.500 In
```

Results
**DFT formation energy**: -24 meV per atom

---

Record 3
An optimized crystal structure of Cr2SbBr. Source: the Alexandria database, functional GGA-PBE.

Structure (POSCAR):
```
Cr2SbBr
1.0
2.069 -2.909 0.000
2.069 2.909 0.000
0.000 0.000 7.538
Cr Sb Br
2 1 1
Direct
0.000 0.000 0.235 Cr
0.000 0.000 0.765 Cr
0.500 0.500 0.000 Sb
0.500 0.500 0.500 Br
```

Results
**ΔE_f (raw)**: 0.344 eV per atom

---

Record 4
An optimized crystal structure of PmHfSc2. Source: the Alexandria database, functional GGA-PBE.

Structure (POSCAR):
```
PmHfSc2
1.0
4.707 0.000 0.000
0.000 4.707 0.000
0.000 0.000 4.617
Pm Hf Sc
1 1 2
Direct
0.000 0.000 0.000 Pm
0.500 0.500 0.000 Hf
0.000 0.500 0.500 Sc
0.500 0.000 0.500 Sc
```

Results
**DFT formation energy**: 130 meV per atom

---

Record 5
An optimized crystal structure of SrBrCl. Source: the Alexandria database, functional GGA-PBE.

Structure (POSCAR):
```
SrBrCl
1.0
5.877 0.000 0.000
0.000 4.713 0.000
-2.226 0.000 7.326
Sr Br Cl
2 2 2
Direct
0.169 0.250 0.266 Sr
0.831 0.750 0.734 Sr
0.268 0.750 0.564 Br
0.732 0.250 0.436 Br
0.243 0.750 0.064 Cl
0.757 0.250 0.936 Cl
```

Results
**ΔE_f (raw)**: -2.302 eV per atom

---

Record 6
An optimized crystal structure of Be2FeRh. Source: the Alexandria database, functional GGA-PBE.

Structure (POSCAR):
```
Be2FeRh
1.0
0.000 2.790 2.790
2.790 0.000 2.790
2.790 2.790 0.000
Be Fe Rh
2 1 1
Direct
0.000 0.000 0.000 Be
0.250 0.250 0.250 Be
0.500 0.500 0.500 Fe
0.750 0.750 0.750 Rh
```

Results
**DFT formation energy**: -169 meV per atom

---

Record 7
An optimized crystal structure of CaTa2Tc. Source: the Alexandria database, functional GGA-PBE.

Structure (POSCAR):
```
CaTa2Tc
1.0
2.823 -4.880 0.000
2.823 4.880 0.000
0.000 0.000 2.758
Ca Ta Tc
1 2 1
Direct
0.000 0.000 0.000 Ca
0.000 0.500 0.500 Ta
0.500 0.000 0.500 Ta
0.500 0.500 0.000 Tc
```

Results
**DFT formation energy**: 672 meV per atom

---

Record 8
An optimized crystal structure of Dy6Sb3Se2S. Source: the Alexandria database, functional GGA-PBE.

Structure (POSCAR):
```
Dy6Sb3Se2S
1.0
9.182 -2.104 0.000
9.182 2.104 0.000
-1.926 0.000 8.183
Dy Sb Se S
6 3 2 1
Direct
0.001 0.001 0.232 Dy
0.332 0.332 0.422 Dy
0.343 0.343 0.914 Dy
0.657 0.657 0.086 Dy
0.668 0.668 0.578 Dy
0.999 0.999 0.768 Dy
0.170 0.170 0.836 Sb
0.500 0.500 0.500 Sb
0.830 0.830 0.164 Sb
0.166 0.166 0.334 Se
0.834 0.834 0.666 Se
0.500 0.500 0.000 S
```

Results
**ΔE_f (raw)**: -1.468 eV per atom